DFT (PBE) results for an optimized crystal structure of Y2CBr.

Formation energy without anion corrections: -0.94 eV per atom
V: 253 Å³/cell
Space group: No. 160
Calculated total energy: -6.90 eV/atom
M_tot: 0.000 μB/cell

abc: 3.696 3.696 21.427
angles: 90.00 90.00 120.00
Fractional positions:
Y  0.000  0.000  0.000
Y  0.000  0.000  0.214
Y  0.333  0.667  0.667
Y  0.333  0.667  0.881
Y  0.667  0.333  0.333
Y  0.667  0.333  0.547
C  0.000  0.000  0.605
C  0.333  0.667  0.272
C  0.667  0.333  0.938
Br  0.000  0.000  0.775
Br  0.333  0.667  0.441
Br  0.667  0.333  0.108